<i>
# AlMoAs, optimized geometry, DFT PBE
data_AlMoAs
_symmetry_space_group_name_H-M 'P 1'
_symmetry_Int_Tables_number 1
_cell_length_a 4.575
_cell_length_b 4.575
_cell_length_c 2.691
_cell_angle_alpha 90.00
_cell_angle_beta 90.00
_cell_angle_gamma 120.00
loop_
_symmetry_equiv_pos_as_xyz
'x,y,z'
loop_
_atom_site_label
_atom_site_type_symbol
_atom_site_fract_x
_atom_site_fract_y
_atom_site_fract_z
Al1 Al 0.000 0.000 0.000
Mo1 Mo 0.667 0.333 0.500
As1 As 0.333 0.667 0.500
# Theoretical density = 6.7 Mg/m³
# Symmetry = No. 187

***

<ii>
# AlMoAs, optimized geometry, DFT PBE
data_AlMoAs
_symmetry_space_group_name_H-M 'P 1'
_symmetry_Int_Tables_number 1
_cell_length_a 3.090
_cell_length_b 3.090
_cell_length_c 6.088
_cell_angle_alpha 90.00
_cell_angle_beta 90.00
_cell_angle_gamma 120.00
loop_
_symmetry_equiv_pos_as_xyz
'x,y,z'
loop_
_atom_site_label
_atom_site_type_symbol
_atom_site_fract_x
_atom_site_fract_y
_atom_site_fract_z
Al1 Al 0.000 0.000 0.000
Mo1 Mo 0.333 0.667 0.666
As1 As 0.667 0.333 0.371
# Theoretical density = 6.5 Mg/m³
# Symmetry = No. 156

***

<iii>
# AlMoAs, optimized geometry, DFT PBE
data_AlMoAs
_symmetry_space_group_name_H-M 'P 1'
_symmetry_Int_Tables_number 1
_cell_length_a 4.788
_cell_length_b 4.788
_cell_length_c 4.788
_cell_angle_alpha 139.62
_cell_angle_beta 139.62
_cell_angle_gamma 58.43
loop_
_symmetry_equiv_pos_as_xyz
'x,y,z'
loop_
_atom_site_label
_atom_site_type_symbol
_atom_site_fract_x
_atom_site_fract_y
_atom_site_fract_z
Al1 Al 0.000 0.000 0.000
Mo1 Mo 0.674 0.674 0.000
As1 As 0.324 0.324 0.000
# Theoretical density = 7.2 Mg/m³
# Symmetry = No. 107

***

<iv>
# AlMoAs, optimized geometry, DFT PBE
data_AlMoAs
_symmetry_space_group_name_H-M 'P 1'
_symmetry_Int_Tables_number 1
_cell_length_a 4.229
_cell_length_b 4.229
_cell_length_c 4.229
_cell_angle_alpha 60.00
_cell_angle_beta 60.00
_cell_angle_gamma 60.00
loop_
_symmetry_equiv_pos_as_xyz
'x,y,z'
loop_
_atom_site_label
_atom_site_type_symbol
_atom_site_fract_x
_atom_site_fract_y
_atom_site_fract_z
Al1 Al 0.000 0.000 0.000
Mo1 Mo 0.500 0.500 0.500
As1 As 0.250 0.250 0.250
# Theoretical density = 6.1 Mg/m³
# Symmetry = No. 216

***

Which of them is most stable, and which least? Most stable: <iii>; least stable: <iv>.

***

<i>
# AlMoAs, optimized geometry, DFT PBE
data_AlMoAs
_symmetry_space_group_name_H-M 'P 1'
_symmetry_Int_Tables_number 1
_cell_length_a 4.283
_cell_length_b 4.283
_cell_length_c 4.283
_cell_angle_alpha 60.00
_cell_angle_beta 60.00
_cell_angle_gamma 60.00
loop_
_symmetry_equiv_pos_as_xyz
'x,y,z'
loop_
_atom_site_label
_atom_site_type_symbol
_atom_site_fract_x
_atom_site_fract_y
_atom_site_fract_z
Al1 Al 0.000 0.000 0.000
Mo1 Mo 0.250 0.250 0.250
As1 As 0.500 0.500 0.500
# Theoretical density = 5.9 Mg/m³
# Symmetry = No. 216

***

<ii>
# AlMoAs, optimized geometry, DFT PBE
data_AlMoAs
_symmetry_space_group_name_H-M 'P 1'
_symmetry_Int_Tables_number 1
_cell_length_a 4.513
_cell_length_b 4.967
_cell_length_c 4.986
_cell_angle_alpha 105.34
_cell_angle_beta 109.28
_cell_angle_gamma 91.44
loop_
_symmetry_equiv_pos_as_xyz
'x,y,z'
loop_
_atom_site_label
_atom_site_type_symbol
_atom_site_fract_x
_atom_site_fract_y
_atom_site_fract_z
Al1 Al 0.000 0.000 0.000
Al2 Al 0.357 0.131 0.646
Mo1 Mo 0.594 0.311 0.279
Mo2 Mo 0.937 0.452 0.847
As1 As 0.171 0.583 0.452
As2 As 0.547 0.745 0.097
# Theoretical density = 6.5 Mg/m³
# Symmetry = No. 1

***

Which of them is most stable, and which least? Most stable: <ii>; least stable: <i>.

***

<i>
# AlMoAsSe2, optimized geometry, DFT PBE
data_AlMoAsSe2
_symmetry_space_group_name_H-M 'P 1'
_symmetry_Int_Tables_number 1
_cell_length_a 4.851
_cell_length_b 4.851
_cell_length_c 4.770
_cell_angle_alpha 90.00
_cell_angle_beta 90.00
_cell_angle_gamma 90.00
loop_
_symmetry_equiv_pos_as_xyz
'x,y,z'
loop_
_atom_site_label
_atom_site_type_symbol
_atom_site_fract_x
_atom_site_fract_y
_atom_site_fract_z
Al1 Al 0.000 0.000 0.000
Mo1 Mo 0.500 0.500 0.500
As1 As 0.000 0.000 0.500
Se1 Se 0.000 0.500 0.000
Se2 Se 0.500 0.000 0.000
# Theoretical density = 5.3 Mg/m³
# Symmetry = No. 123

***

<ii>
# AlMoAsSe2, optimized geometry, DFT PBE
data_AlMoAsSe2
_symmetry_space_group_name_H-M 'P 1'
_symmetry_Int_Tables_number 1
_cell_length_a 4.989
_cell_length_b 4.989
_cell_length_c 4.894
_cell_angle_alpha 90.00
_cell_angle_beta 90.00
_cell_angle_gamma 90.00
loop_
_symmetry_equiv_pos_as_xyz
'x,y,z'
loop_
_atom_site_label
_atom_site_type_symbol
_atom_site_fract_x
_atom_site_fract_y
_atom_site_fract_z
Al1 Al 0.000 0.000 0.000
Mo1 Mo 0.500 0.500 0.500
As1 As 0.500 0.500 0.000
Se1 Se 0.000 0.500 0.500
Se2 Se 0.500 0.000 0.500
# Theoretical density = 4.9 Mg/m³
# Symmetry = No. 123

***

Which of them is most stable, and which least? Most stable: <ii>; least stable: <i>.

***

<i>
# Al2AsN, optimized geometry, DFT PBE
data_Al2AsN
_symmetry_space_group_name_H-M 'P 1'
_symmetry_Int_Tables_number 1
_cell_length_a 6.067
_cell_length_b 6.067
_cell_length_c 6.067
_cell_angle_alpha 130.46
_cell_angle_beta 130.46
_cell_angle_gamma 72.67
loop_
_symmetry_equiv_pos_as_xyz
'x,y,z'
loop_
_atom_site_label
_atom_site_type_symbol
_atom_site_fract_x
_atom_site_fract_y
_atom_site_fract_z
Al1 Al 0.042 0.625 0.917
Al2 Al 0.375 0.292 0.417
Al3 Al 0.708 0.125 0.083
Al4 Al 0.875 0.958 0.583
As1 As 0.250 0.750 0.500
As2 As 0.500 0.500 0.000
N1 N 0.000 0.000 0.000
N2 N 0.750 0.250 0.500
# Theoretical density = 3.8 Mg/m³
# Symmetry = No. 122

***

<ii>
# Al2AsN, optimized geometry, DFT PBE
data_Al2AsN
_symmetry_space_group_name_H-M 'P 1'
_symmetry_Int_Tables_number 1
_cell_length_a 4.278
_cell_length_b 4.278
_cell_length_c 4.278
_cell_angle_alpha 60.00
_cell_angle_beta 60.00
_cell_angle_gamma 60.00
loop_
_symmetry_equiv_pos_as_xyz
'x,y,z'
loop_
_atom_site_label
_atom_site_type_symbol
_atom_site_fract_x
_atom_site_fract_y
_atom_site_fract_z
Al1 Al 0.250 0.250 0.250
Al2 Al 0.750 0.750 0.750
As1 As 0.000 0.000 0.000
N1 N 0.500 0.500 0.500
# Theoretical density = 4.3 Mg/m³
# Symmetry = No. 225

***

Which of them is most stable, and which least? Most stable: <i>; least stable: <ii>.

***

<i>
# AlAsSN2, optimized geometry, DFT PBE
data_AlAsSN2
_symmetry_space_group_name_H-M 'P 1'
_symmetry_Int_Tables_number 1
_cell_length_a 3.663
_cell_length_b 3.663
_cell_length_c 5.327
_cell_angle_alpha 90.00
_cell_angle_beta 90.00
_cell_angle_gamma 90.00
loop_
_symmetry_equiv_pos_as_xyz
'x,y,z'
loop_
_atom_site_label
_atom_site_type_symbol
_atom_site_fract_x
_atom_site_fract_y
_atom_site_fract_z
Al1 Al 0.000 0.000 0.000
As1 As 0.500 0.500 0.500
S1 S 0.500 0.500 0.000
N1 N 0.000 0.500 0.500
N2 N 0.500 0.000 0.500
# Theoretical density = 3.8 Mg/m³
# Symmetry = No. 123

***

<ii>
# AlAsSN2, optimized geometry, DFT PBE
data_AlAsSN2
_symmetry_space_group_name_H-M 'P 1'
_symmetry_Int_Tables_number 1
_cell_length_a 3.706
_cell_length_b 3.706
_cell_length_c 5.060
_cell_angle_alpha 90.00
_cell_angle_beta 90.00
_cell_angle_gamma 90.00
loop_
_symmetry_equiv_pos_as_xyz
'x,y,z'
loop_
_atom_site_label
_atom_site_type_symbol
_atom_site_fract_x
_atom_site_fract_y
_atom_site_fract_z
Al1 Al 0.000 0.000 0.000
As1 As 0.500 0.500 0.500
S1 S 0.000 0.000 0.500
N1 N 0.000 0.500 0.000
N2 N 0.500 0.000 0.000
# Theoretical density = 3.9 Mg/m³
# Symmetry = No. 123

***

Which of them is most stable, and which least? Most stable: <ii>; least stable: <i>.

***

<i>
# AlTe2AsN, optimized geometry, DFT PBE
data_AlTe2AsN
_symmetry_space_group_name_H-M 'P 1'
_symmetry_Int_Tables_number 1
_cell_length_a 5.698
_cell_length_b 5.698
_cell_length_c 3.618
_cell_angle_alpha 90.00
_cell_angle_beta 90.00
_cell_angle_gamma 90.00
loop_
_symmetry_equiv_pos_as_xyz
'x,y,z'
loop_
_atom_site_label
_atom_site_type_symbol
_atom_site_fract_x
_atom_site_fract_y
_atom_site_fract_z
Al1 Al 0.000 0.000 0.000
Te1 Te 0.000 0.500 0.500
Te2 Te 0.500 0.000 0.500
As1 As 0.500 0.500 0.500
N1 N 0.500 0.500 0.000
# Theoretical density = 5.2 Mg/m³
# Symmetry = No. 123

***

<ii>
# AlTe2AsN, optimized geometry, DFT PBE
data_AlTe2AsN
_symmetry_space_group_name_H-M 'P 1'
_symmetry_Int_Tables_number 1
_cell_length_a 5.589
_cell_length_b 5.589
_cell_length_c 3.490
_cell_angle_alpha 90.00
_cell_angle_beta 90.00
_cell_angle_gamma 90.00
loop_
_symmetry_equiv_pos_as_xyz
'x,y,z'
loop_
_atom_site_label
_atom_site_type_symbol
_atom_site_fract_x
_atom_site_fract_y
_atom_site_fract_z
Al1 Al 0.000 0.000 0.000
Te1 Te 0.000 0.500 0.000
Te2 Te 0.500 0.000 0.000
As1 As 0.500 0.500 0.500
N1 N 0.000 0.000 0.500
# Theoretical density = 5.7 Mg/m³
# Symmetry = No. 123

***

Which of them is most stable, and which least? Most stable: <ii>; least stable: <i>.

***

<i>
# NaAl3As, optimized geometry, DFT PBE
data_NaAl3As
_symmetry_space_group_name_H-M 'P 1'
_symmetry_Int_Tables_number 1
_cell_length_a 5.101
_cell_length_b 5.101
_cell_length_c 5.101
_cell_angle_alpha 90.00
_cell_angle_beta 90.00
_cell_angle_gamma 90.00
loop_
_symmetry_equiv_pos_as_xyz
'x,y,z'
loop_
_atom_site_label
_atom_site_type_symbol
_atom_site_fract_x
_atom_site_fract_y
_atom_site_fract_z
Na1 Na 0.000 0.000 0.000
Al1 Al 0.000 0.000 0.500
Al2 Al 0.000 0.500 0.000
Al3 Al 0.500 0.000 0.000
As1 As 0.500 0.500 0.500
# Theoretical density = 2.2 Mg/m³
# Symmetry = No. 221

***

<ii>
# NaAl3As, optimized geometry, DFT PBE
data_NaAl3As
_symmetry_space_group_name_H-M 'P 1'
_symmetry_Int_Tables_number 1
_cell_length_a 5.113
_cell_length_b 5.113
_cell_length_c 5.113
_cell_angle_alpha 90.00
_cell_angle_beta 90.00
_cell_angle_gamma 90.00
loop_
_symmetry_equiv_pos_as_xyz
'x,y,z'
loop_
_atom_site_label
_atom_site_type_symbol
_atom_site_fract_x
_atom_site_fract_y
_atom_site_fract_z
Na1 Na 0.000 0.000 0.000
Al1 Al 0.000 0.500 0.500
Al2 Al 0.500 0.000 0.500
Al3 Al 0.500 0.500 0.000
As1 As 0.500 0.500 0.500
# Theoretical density = 2.2 Mg/m³
# Symmetry = No. 221

***

Which of them is most stable, and which least? Most stable: <ii>; least stable: <i>.